No. 1
Material: Mo2Br
Method: DFT, PBE-GGA
State: optimized geometry

Values from the calculation:
- Electronic total energy: -6.85 eV per atom

a = 6.182 Å, b = 6.182 Å, c = 8.959 Å
α = 90.00°, β = 90.00°, γ = 120.00°
Positions (direct):
Mo1 0.000 0.000 0.000
Mo2 0.000 0.000 0.500
Mo3 0.134 0.268 0.250
Mo4 0.134 0.866 0.250
Mo5 0.268 0.134 0.750
Mo6 0.732 0.866 0.250
Mo7 0.866 0.134 0.750
Mo8 0.866 0.732 0.750
Br1 0.333 0.667 0.060
Br2 0.333 0.667 0.440
Br3 0.667 0.333 0.560
Br4 0.667 0.333 0.940

No. 2
Material: PmPr3Te6
Method: DFT, PBE-GGA
State: optimized geometry

Values from the calculation:
- Electronic total energy: -5.19 eV per atom

a = 7.513 Å, b = 8.399 Å, c = 13.687 Å
α = 90.00°, β = 122.72°, γ = 90.00°
Positions (direct):
Pm1 0.000 0.000 0.000
Pm2 0.000 0.500 0.500
Pr1 0.195 0.119 0.748
Pr2 0.195 0.381 0.248
Pr3 0.500 0.000 0.500
Pr4 0.500 0.500 0.000
Pr5 0.805 0.619 0.752
Pr6 0.805 0.881 0.252
Te1 0.077 0.177 0.419
Te2 0.077 0.323 0.919
Te3 0.255 0.675 0.417
Te4 0.255 0.825 0.917
Te5 0.414 0.055 0.247
Te6 0.414 0.445 0.747
Te7 0.586 0.555 0.253
Te8 0.586 0.945 0.753
Te9 0.745 0.175 0.083
Te10 0.745 0.325 0.583
Te11 0.923 0.677 0.081
Te12 0.923 0.823 0.581

No. 3
Material: BeCoHg3
Method: DFT, PBE-GGA
State: optimized geometry

Values from the calculation:
- Electronic total energy: -1.45 eV per atom
- DFT formation energy: 0.8980 eV per atom

a = 5.021 Å, b = 5.021 Å, c = 5.021 Å
α = 90.00°, β = 90.00°, γ = 90.00°
Positions (direct):
Be1 0.000 0.000 0.000
Co1 0.500 0.500 0.500
Hg1 0.000 0.500 0.500
Hg2 0.500 0.000 0.500
Hg3 0.500 0.500 0.000

No. 4
Material: La8Nd2Sc
Method: DFT, PBE-GGA
State: optimized geometry

Values from the calculation:
- Electronic total energy: -4.93 eV per atom
- DFT formation energy: 0.1002 eV per atom

a = 9.793 Å, b = 9.793 Å, c = 9.793 Å
α = 145.19°, β = 132.16°, γ = 60.52°
Positions (direct):
La1 0.166 0.372 0.794
La2 0.168 0.168 0.000
La3 0.277 0.000 0.277
La4 0.422 0.628 0.794
La5 0.578 0.372 0.206
La6 0.723 0.000 0.723
La7 0.832 0.832 0.000
La8 0.834 0.628 0.206
Nd1 0.300 0.800 0.500
Nd2 0.700 0.200 0.500
Sc1 0.000 0.500 0.500

No. 5
Material: MnFe2BrN
Method: DFT, PBE-GGA
State: optimized geometry

Values from the calculation:
- Electronic total energy: -5.37 eV per atom

a = 4.432 Å, b = 4.432 Å, c = 4.181 Å
α = 90.00°, β = 90.00°, γ = 90.00°
Positions (direct):
Mn1 0.000 0.000 0.000
Fe1 0.000 0.500 0.500
Fe2 0.500 0.000 0.500
Br1 0.500 0.500 0.500
N1 0.500 0.500 0.000

No. 6
Material: Se2ICl2
Method: DFT, PBE-GGA
State: optimized geometry

Values from the calculation:
- Electronic total energy: -2.47 eV per atom

a = 6.690 Å, b = 7.784 Å, c = 8.647 Å
α = 81.24°, β = 67.32°, γ = 64.56°
Positions (direct):
Se1 0.006 0.354 0.456
Se2 0.184 0.854 0.956
Se3 0.816 0.146 0.044
Se4 0.994 0.646 0.544
I1 0.320 0.750 0.250
I2 0.680 0.250 0.750
Cl1 0.189 0.366 0.174
Cl2 0.272 0.865 0.673
Cl3 0.728 0.135 0.327
Cl4 0.811 0.634 0.826

No. 7
Material: ErTm4Co5
Method: DFT, PBE-GGA
State: optimized geometry

Values from the calculation:
- Electronic total energy: -6.01 eV per atom
- DFT formation energy: -0.2158 eV per atom

a = 3.296 Å, b = 3.296 Å, c = 16.397 Å
α = 90.00°, β = 90.00°, γ = 90.00°
Positions (direct):
Er1 0.000 0.000 0.000
Tm1 0.000 0.000 0.201
Tm2 0.000 0.000 0.400
Tm3 0.000 0.000 0.600
Tm4 0.000 0.000 0.799
Co1 0.500 0.500 0.101
Co2 0.500 0.500 0.300
Co3 0.500 0.500 0.500
Co4 0.500 0.500 0.700
Co5 0.500 0.500 0.899

No. 8
Material: SrDyMgZn
Method: DFT, PBE-GGA
State: optimized geometry

Values from the calculation:
- Electronic total energy: -2.34 eV per atom
- DFT formation energy: -0.0568 eV per atom

a = 5.429 Å, b = 5.429 Å, c = 5.429 Å
α = 60.00°, β = 60.00°, γ = 60.00°
Positions (direct):
Sr1 0.000 0.000 0.000
Dy1 0.500 0.500 0.500
Mg1 0.750 0.750 0.750
Zn1 0.250 0.250 0.250